Version w
The following is a DFT calculation (PBE) of a relaxed structure of CaAcLa2.

Structure (extended XYZ):
```
4
Lattice="1.916 1.106 12.674 -1.916 1.106 12.674 0.000 -2.213 12.674" Properties=species:S:1:pos:R:3 pbc="T T T"
Ca 0.000 0.000 0.000
Ac 0.000 0.000 6.314
La 0.000 0.000 22.070
La 0.000 0.000 28.581
```

Version x
The following is a DFT calculation (PBE) of a relaxed structure of CaAcLa2.

Structure (extended XYZ):
```
4
Lattice="0.000 4.328 4.328 4.328 0.000 4.328 4.328 4.328 0.000" Properties=species:S:1:pos:R:3 pbc="T T T"
Ca 0.000 0.000 0.000
Ac 4.328 4.328 4.328
La 2.164 2.164 2.164
La 6.492 6.492 6.492
```

Version y
The following is a DFT calculation (PBE) of a relaxed structure of CaAcLa2.

Structure (extended XYZ):
```
4
Lattice="1.879 1.085 13.348 -1.879 1.085 13.348 0.000 -2.169 13.348" Properties=species:S:1:pos:R:3 pbc="T T T"
Ca 0.000 0.000 0.000
Ac 0.000 0.000 20.022
La 0.000 0.000 3.591
La 0.000 0.000 36.454
```

Version z
The following is a DFT calculation (PBE) of a relaxed structure of CaAcLa2.

Structure (extended XYZ):
```
4
Lattice="5.393 0.000 0.000 0.000 5.393 0.000 0.000 0.000 5.447" Properties=species:S:1:pos:R:3 pbc="T T T"
Ca 0.000 0.000 0.000
Ac 2.696 2.696 0.000
La 0.000 2.696 2.724
La 2.696 0.000 2.724
```

How far above the most stable structure does each one sit? In meV/atom: version w 0; version x 71; version y 87; version z 12.

Version w
The following is a DFT calculation (PBE) of a relaxed structure of CaAc2La.

Structure (extended XYZ):
```
4
Lattice="1.900 1.097 13.726 -1.900 1.097 13.726 0.000 -2.193 13.726" Properties=species:S:1:pos:R:3 pbc="T T T"
Ca 0.000 0.000 0.000
Ac 0.000 0.000 17.014
Ac 0.000 0.000 24.165
La 0.000 0.000 20.590
```

Version x
The following is a DFT calculation (PBE) of a relaxed structure of CaAc2La.

Structure (extended XYZ):
```
4
Lattice="3.913 0.000 0.000 0.000 3.913 0.000 0.000 0.000 11.049" Properties=species:S:1:pos:R:3 pbc="T T T"
Ca 0.000 0.000 0.000
Ac 1.956 1.956 2.887
Ac 1.956 1.956 8.162
La 0.000 0.000 5.525
```

Version y
The following is a DFT calculation (PBE) of a relaxed structure of CaAc2La.

Structure (extended XYZ):
```
4
Lattice="0.000 4.395 4.395 4.395 0.000 4.395 4.395 4.395 0.000" Properties=species:S:1:pos:R:3 pbc="T T T"
Ca 0.000 0.000 0.000
Ac 2.198 2.198 2.198
Ac 6.593 6.593 6.593
La 4.395 4.395 4.395
```

How far above the most stable structure does each one sit? In meV/atom: version w 192; version x 0; version y 70.

Version w
The following is a DFT calculation (PBE) of a relaxed structure of CaAc4La.

Structure (extended XYZ):
```
12
Lattice="10.174 0.000 0.000 0.000 6.899 0.000 -0.878 0.000 7.422" Properties=species:S:1:pos:R:3 pbc="T T T"
Ca -0.219 0.542 1.856
Ca -0.658 6.357 5.567
Ac 0.927 2.903 6.851
Ac 1.366 3.996 3.140
Ac 2.905 0.638 4.320
Ac 3.344 6.260 0.609
Ac 5.953 0.638 6.813
Ac 6.391 6.260 3.102
Ac 7.931 2.903 4.282
Ac 8.369 3.996 0.571
La 4.868 2.915 1.856
La 4.429 3.983 5.567
```

Version x
The following is a DFT calculation (PBE) of a relaxed structure of CaAc4La.

Structure (extended XYZ):
```
6
Lattice="0.000 5.184 5.184 5.184 0.000 5.184 5.184 5.184 0.000" Properties=species:S:1:pos:R:3 pbc="T T T"
Ca 0.000 0.000 0.000
Ac 3.893 3.893 3.893
Ac 6.475 6.475 3.893
Ac 6.475 3.893 6.475
Ac 3.893 6.475 6.475
La 7.776 7.776 7.776
```

How far above the most stable structure does each one sit? In meV/atom: version w 0; version x 215.

Version w
The following is a DFT calculation (PBE) of a relaxed structure of CaAc6La2.

Structure (extended XYZ):
```
9
Lattice="3.932 0.000 0.000 -1.966 3.405 0.000 0.000 0.000 29.394" Properties=species:S:1:pos:R:3 pbc="T T T"
Ca 0.000 0.000 0.000
Ac 0.000 0.000 6.496
Ac 0.000 0.000 12.787
Ac 0.000 0.000 16.607
Ac 0.000 0.000 22.898
Ac 0.000 2.270 3.287
Ac 0.000 2.270 26.106
La 0.000 2.270 9.718
La 0.000 2.270 19.676
```

Version x
The following is a DFT calculation (PBE) of a relaxed structure of CaAc6La2.

Structure (extended XYZ):
```
18
Lattice="7.733 0.000 0.000 0.000 7.581 0.000 -0.999 0.000 13.470" Properties=species:S:1:pos:R:3 pbc="T T T"
Ca 0.000 0.000 0.000
Ca -0.499 3.791 6.735
Ac 0.751 0.601 4.647
Ac 0.252 3.190 11.382
Ac 1.852 1.295 8.366
Ac 2.352 2.496 1.631
Ac 2.623 5.134 7.978
Ac 3.122 6.238 1.243
Ac 3.612 1.343 12.227
Ac 4.112 2.447 5.492
Ac 4.383 5.086 11.840
Ac 4.882 6.287 5.104
Ac 6.483 4.392 2.088
Ac 5.983 6.980 8.823
La 1.595 4.673 4.287
La 1.096 6.699 11.022
La 5.639 0.882 2.448
La 5.139 2.908 9.183
```

How far above the most stable structure does each one sit? In meV/atom: version w 0; version x 130.

Version w
The following is a DFT calculation (PBE) of a relaxed structure of Ca2Ac3La.

Structure (extended XYZ):
```
12
Lattice="3.902 -5.555 0.000 3.902 5.555 0.000 -3.874 0.000 11.719" Properties=species:S:1:pos:R:3 pbc="T T T"
Ca 0.979 1.392 1.010
Ca -0.958 -1.392 6.869
Ca 4.889 1.392 4.850
Ca 2.952 -1.392 10.709
Ac 2.934 4.169 2.930
Ac 0.986 1.387 4.929
Ac -0.951 -1.387 10.788
Ac 4.882 1.387 0.931
Ac 2.945 -1.387 6.790
Ac 0.997 -4.169 8.789
La 0.997 1.386 8.789
La 2.934 -1.386 2.930
```

Version x
The following is a DFT calculation (PBE) of a relaxed structure of Ca2Ac3La.

Structure (extended XYZ):
```
12
Lattice="-2.782 5.582 8.241 2.782 -5.582 8.241 2.782 5.582 -8.241" Properties=species:S:1:pos:R:3 pbc="T T T"
Ca 0.000 2.791 0.031
Ca 2.782 2.791 2.778
Ca 0.000 2.791 5.463
Ca 2.782 2.791 8.211
Ac 2.782 0.000 0.000
Ac 2.782 5.459 -5.484
Ac 2.782 -0.122 5.484
Ac 0.000 0.000 8.241
Ac 0.000 5.704 2.757
Ac 0.000 0.122 13.725
La 2.782 2.791 -2.797
La 0.000 2.791 11.038
```

How far above the most stable structure does each one sit? In meV/atom: version w 8; version x 0.

Version w
The following is a DFT calculation (PBE) of a relaxed structure of Ca4AcLa2.

Structure (extended XYZ):
```
7
Lattice="-3.064 3.064 9.149 3.064 -3.064 9.149 3.064 3.064 -9.149" Properties=species:S:1:pos:R:3 pbc="T T T"
Ca 3.064 0.000 0.000
Ca 0.000 0.000 3.407
Ca 0.000 3.064 0.000
Ca 0.000 0.000 14.890
Ac 0.000 0.000 0.000
La 0.000 0.000 7.252
La 0.000 0.000 11.046
```

Version x
The following is a DFT calculation (PBE) of a relaxed structure of Ca4AcLa2.

Structure (extended XYZ):
```
7
Lattice="1.928 1.113 22.345 -1.928 1.113 22.345 0.000 -2.226 22.345" Properties=species:S:1:pos:R:3 pbc="T T T"
Ca 0.000 0.000 6.519
Ca 0.000 0.000 25.629
Ca 0.000 0.000 41.406
Ca 0.000 0.000 60.516
Ac 0.000 0.000 0.000
La 0.000 0.000 12.601
La 0.000 0.000 54.434
```

How far above the most stable structure does each one sit? In meV/atom: version w 628; version x 0.

Version w
The following is a DFT calculation (PBE) of a relaxed structure of CaAc12La7.

Structure (extended XYZ):
```
20
Lattice="-6.148 6.148 6.148 6.148 -6.148 6.148 6.148 6.148 -6.148" Properties=species:S:1:pos:R:3 pbc="T T T"
Ca 0.000 0.000 0.000
Ac 6.148 3.487 -2.505
Ac 3.643 0.000 2.662
Ac 8.654 0.000 2.662
Ac 2.662 3.643 0.000
Ac 3.487 -2.505 6.148
Ac 6.148 3.487 2.505
Ac 0.000 2.662 3.643
Ac 2.662 8.654 0.000
Ac 3.487 2.505 6.148
Ac -2.505 6.148 3.487
Ac 2.505 6.148 3.487
Ac 0.000 2.662 8.654
La 3.074 3.074 -3.074
La 3.074 -3.074 3.074
La 6.148 0.000 0.000
La -3.074 3.074 3.074
La 0.000 6.148 0.000
La 0.000 0.000 6.148
La 3.074 3.074 3.074
```

Version x
The following is a DFT calculation (PBE) of a relaxed structure of CaAc12La7.

Structure (extended XYZ):
```
20
Lattice="8.124 4.691 3.703 -8.124 4.691 3.703 0.000 -9.381 3.703" Properties=species:S:1:pos:R:3 pbc="T T T"
Ca 0.000 0.000 0.000
Ac -1.936 -2.150 2.700
Ac -3.665 0.635 4.739
Ac -0.894 2.752 2.700
Ac -2.383 -2.856 6.370
Ac 1.282 -3.492 4.739
Ac 2.831 -0.602 2.700
Ac -2.831 0.602 8.408
Ac -1.282 3.492 6.370
Ac 2.383 2.856 4.739
Ac 0.894 -2.752 8.408
Ac 3.665 -0.635 6.370
Ac 1.936 2.150 8.408
La -7.172 1.157 4.552
La -4.588 -5.632 6.556
La 2.584 -6.790 4.552
La 0.000 0.000 5.554
La -2.584 6.790 6.556
La 4.588 5.632 4.552
La 7.172 -1.157 6.556
```

How far above the most stable structure does each one sit? In meV/atom: version w 420; version x 0.

Version w
The following is a DFT calculation (PBE) of a relaxed structure of Ca2Ac4La.

Structure (extended XYZ):
```
14
Lattice="-5.366 5.366 5.356 5.366 -5.366 5.356 5.366 5.366 -5.356" Properties=species:S:1:pos:R:3 pbc="T T T"
Ca 1.164 2.683 1.339
Ca -2.683 4.201 4.017
Ca -1.164 8.048 1.339
Ca 2.683 6.530 4.017
Ac 1.941 -0.797 2.308
Ac 4.569 1.941 -0.370
Ac 3.425 6.162 -3.047
Ac 3.425 -0.797 5.725
Ac 4.569 3.425 3.047
Ac 1.941 6.162 0.370
Ac 0.797 3.425 4.986
Ac 0.797 1.941 8.403
La 5.366 0.000 2.678
La 0.000 0.000 5.356
```

Version x
The following is a DFT calculation (PBE) of a relaxed structure of Ca2Ac4La.

Structure (extended XYZ):
```
7
Lattice="3.409 -7.042 0.000 3.409 7.042 0.000 0.000 0.000 6.501" Properties=species:S:1:pos:R:3 pbc="T T T"
Ca 3.409 5.527 0.000
Ca 3.409 -5.527 0.000
Ac 3.409 4.251 3.251
Ac 3.409 1.962 0.000
Ac 3.409 -1.962 0.000
Ac 3.409 -4.251 3.251
La 3.409 0.000 3.251
```

How far above the most stable structure does each one sit? In meV/atom: version w 0; version x 154.